This record from Alexandria describes a relaxed structure of TbBRh4. The functional is PBE.

Geometry as POSCAR:
```
TbBRh4
1.0
-1.074 0.753 4.922
-4.979 -0.098 -1.071
-0.102 -8.014 1.204
Tb B Rh
2 2 8
direct
0.000 0.000 0.500 Tb
0.500 0.500 0.000 Tb
0.000 0.000 0.000 B
0.500 0.500 0.500 B
0.257 0.000 0.192 Rh
0.743 0.000 0.192 Rh
0.000 0.743 0.808 Rh
0.000 0.257 0.808 Rh
0.500 0.243 0.692 Rh
0.757 0.500 0.308 Rh
0.243 0.500 0.308 Rh
0.500 0.757 0.692 Rh
```

The calculation puts the density at 9.2 g/cm³. For the energy of formation, the calculation gives -0.036 eV per atom. As for the space group: P4_2/nmc.